Re2SbPt: optimized geometry, GGA-PBE.

Cell: 4.059 4.059 7.922 Å, 90.00 90.00 90.00°
Space group I-4m2 (No. 119)
Unique sites:
Re 0.000 0.000 0.000 (multiplicity 2)
Re 0.000 0.500 0.250 (multiplicity 2)
Sb 0.000 0.500 0.750 (multiplicity 2)
Pt 0.000 0.000 0.500 (multiplicity 2)

## Properties
**ΔE_f (raw)**: 0.378 eV/atom
**Calculated density**: 17.537 g/cm³
**Density of states at the Fermi level**: 4.462 states/eV per cell